{"formula": "MnTcF2", "functional": "PBE with a Hubbard U", "state": "optimized geometry", "dft_energy_ev_per_atom": -5.888, "lattice_angstrom": [[-2.677, 2.677, 5.072], [2.677, -2.677, 5.072], [2.677, 2.677, -5.072]], "species": ["Mn", "Mn", "Tc", "Tc", "F", "F", "F", "F"], "frac_coords": [[0.000, 0.000, 0.000], [0.750, 0.250, 0.500], [0.250, 0.750, 0.500], [0.500, 0.500, 0.000], [0.050, 0.625, 0.925], [0.375, 0.300, 0.425], [0.700, 0.125, 0.075], [0.875, 0.950, 0.575]]}